Compound: K2ZrCoO4
Source: Alexandria via LeMat-Bulk
Functional: GGA+U
Structure: optimized geometry

Cell: 5.852 5.852 5.852 Å, 119.36 119.36 91.10°
Element x y z (fractional)
K 0.000 0.000 0.000
K 0.750 0.250 0.500
Zr 0.500 0.500 0.000
Co 0.250 0.750 0.500
O 0.222 0.611 0.097
O 0.389 0.486 0.611
O 0.514 0.124 0.903
O 0.876 0.778 0.389

E_tot (eV per atom): -6.5090
Symmetry: I-4 (82)